Material: Al4ZnCo5
Method: DFT, PBE
State: optimized geometry

Output
Density of states at the Fermi level = 3.42 states/eV/f.u.
ΔE_f = -0.492 eV per atom
M_tot = 0.0 μB/cell

a b c (Å): 2.8539 2.8539 14.3005
angles (deg): 90.00 90.00 90.00
Last column: nearest neighbours and their distance in Å.
Positions (direct):
1 Al 0.0000 0.0000 0.1001  8 Co 2.46-2.47
2 Al 0.0000 0.0000 0.3013  8 Co 2.43-2.50
3 Al 0.0000 0.0000 0.6987  8 Co 2.43-2.50
4 Al 0.0000 0.0000 0.8999  8 Co 2.46-2.47
5 Zn 0.0000 0.0000 0.5000  8 Co 2.50
6 Co 0.5000 0.5000 0.0000  8 Al 2.47
7 Co 0.5000 0.5000 0.1986  8 Al 2.46-2.50
8 Co 0.5000 0.5000 0.3962  4 Al 2.43, 4 Zn 2.50
9 Co 0.5000 0.5000 0.6038  4 Al 2.43, 4 Zn 2.50
10 Co 0.5000 0.5000 0.8014  8 Al 2.46-2.50